Record 1
InReIr2 | PBE-GGA | relaxed

Properties
As for the mass density: 17.733 g/cm³. The offset from the most stable computed form is 464.6 meV per atom. For the formation energy, the calculation gives 0.363 eV/atom. The size of the total moment is 1.24 μB/f.u.

```
data_InReIr2
_cell_length_a 4.090
_cell_length_b 4.090
_cell_length_c 3.838
_cell_angle_alpha 90.00
_cell_angle_beta 90.00
_cell_angle_gamma 90.00
_space_group_name_H-M_alt 'P 4/m m m'
_space_group_IT_number 123
_space_group_name_Hall '-P 4 2'
loop_
_atom_site_label
_atom_site_fract_x
_atom_site_fract_y
_atom_site_fract_z
In1 0.000 0.000 0.000
Re1 0.500 0.500 0.000
Ir1 0.000 0.500 0.500
```

Record 2
InReIr2 | PBE-GGA | relaxed

Properties
As for the mass density: 17.788 g/cm³. The offset from the most stable computed form is 278.4 meV per atom. For the formation energy, the calculation gives 0.176 eV/atom. The size of the total moment is 0.00 μB/f.u.

```
data_InReIr2
_cell_length_a 2.839
_cell_length_b 2.839
_cell_length_c 7.937
_cell_angle_alpha 90.00
_cell_angle_beta 90.00
_cell_angle_gamma 90.00
_space_group_name_H-M_alt 'P 4 m m'
_space_group_IT_number 99
_space_group_name_Hall 'P 4 -2'
loop_
_atom_site_label
_atom_site_fract_x
_atom_site_fract_y
_atom_site_fract_z
In1 0.000 0.000 0.000
Re1 0.500 0.500 0.724
Ir1 0.000 0.000 0.504
Ir2 0.500 0.500 0.256
```

Record 3
InReIr2 | PBE-GGA | relaxed

Properties
As for the mass density: 17.898 g/cm³. The offset from the most stable computed form is 232.5 meV per atom. For the formation energy, the calculation gives 0.131 eV/atom. The size of the total moment is 0.00 μB/f.u.

```
data_InReIr2
_cell_length_a 2.838
_cell_length_b 4.557
_cell_length_c 4.925
_cell_angle_alpha 90.00
_cell_angle_beta 93.45
_cell_angle_gamma 90.00
_space_group_name_H-M_alt 'P 1 m 1'
_space_group_IT_number 6
_space_group_name_Hall 'P -2y'
loop_
_atom_site_label
_atom_site_fract_x
_atom_site_fract_y
_atom_site_fract_z
In1 0.000 0.000 0.000
Re1 0.921 0.500 0.361
Ir1 0.433 0.000 0.505
Ir2 0.506 0.500 0.843
```

Record 4
InRe2Ir2 | PBE-GGA | relaxed

Properties
As for the mass density: 17.496 g/cm³. The offset from the most stable computed form is 24.5 meV per atom. For the formation energy, the calculation gives 0.240 eV/atom. The size of the total moment is 0.00 μB/f.u.

```
data_InRe2Ir2
_cell_length_a 7.730
_cell_length_b 7.730
_cell_length_c 2.769
_cell_angle_alpha 90.00
_cell_angle_beta 90.00
_cell_angle_gamma 90.00
_space_group_name_H-M_alt 'P 4/m b m'
_space_group_IT_number 127
_space_group_name_Hall '-P 4 2ab'
loop_
_atom_site_label
_atom_site_fract_x
_atom_site_fract_y
_atom_site_fract_z
In1 0.000 0.000 0.000
Re1 0.171 0.329 0.500
Ir1 0.123 0.623 0.000
```

Record 5
InReIr3 | PBE-GGA | relaxed

Properties
As for the mass density: 13.848 g/cm³. The offset from the most stable computed form is 1302.0 meV per atom. For the formation energy, the calculation gives 2.738 eV/atom. The size of the total moment is 0.00 μB/f.u.

```
data_InReIr3
_cell_length_a 4.721
_cell_length_b 4.721
_cell_length_c 4.721
_cell_angle_alpha 90.00
_cell_angle_beta 90.00
_cell_angle_gamma 90.00
_space_group_name_H-M_alt 'P m -3 m'
_space_group_IT_number 221
_space_group_name_Hall '-P 4 2 3'
loop_
_atom_site_label
_atom_site_fract_x
_atom_site_fract_y
_atom_site_fract_z
In1 0.000 0.000 0.000
Re1 0.500 0.500 0.500
Ir1 0.000 0.000 0.500
```

Record 6
InReIr2 | PBE-GGA | relaxed

Properties
As for the mass density: 17.869 g/cm³. The offset from the most stable computed form is 302.6 meV per atom. For the formation energy, the calculation gives 0.201 eV/atom. The size of the total moment is 0.00 μB/f.u.

```
data_InReIr2
_cell_length_a 9.223
_cell_length_b 2.813
_cell_length_c 4.963
_cell_angle_alpha 90.00
_cell_angle_beta 98.35
_cell_angle_gamma 90.00
_space_group_name_H-M_alt 'C 1 2/m 1'
_space_group_IT_number 12
_space_group_name_Hall '-C 2y'
loop_
_atom_site_label
_atom_site_fract_x
_atom_site_fract_y
_atom_site_fract_z
In1 0.000 0.000 0.000
Re1 0.000 0.500 0.500
Ir1 0.245 0.000 0.732
```

Record 7
InRe3Ir | PBE-GGA | relaxed

Properties
As for the mass density: 13.425 g/cm³. The offset from the most stable computed form is 0.0 meV per atom. For the formation energy, the calculation gives 2.051 eV/atom. The size of the total moment is 0.96 μB/f.u.

```
data_InRe3Ir
_cell_length_a 4.749
_cell_length_b 4.749
_cell_length_c 4.749
_cell_angle_alpha 90.00
_cell_angle_beta 90.00
_cell_angle_gamma 90.00
_space_group_name_H-M_alt 'P m -3 m'
_space_group_IT_number 221
_space_group_name_Hall '-P 4 2 3'
loop_
_atom_site_label
_atom_site_fract_x
_atom_site_fract_y
_atom_site_fract_z
In1 0.000 0.000 0.000
Re1 0.000 0.500 0.500
Ir1 0.500 0.500 0.500
```

Record 8
InReIr2 | PBE-GGA | relaxed

Properties
As for the mass density: 17.954 g/cm³. The offset from the most stable computed form is 352.4 meV per atom. For the formation energy, the calculation gives 0.250 eV/atom. The size of the total moment is 0.00 μB/f.u.

```
data_InReIr2
_cell_length_a 3.965
_cell_length_b 3.965
_cell_length_c 8.064
_cell_angle_alpha 90.00
_cell_angle_beta 90.00
_cell_angle_gamma 90.00
_space_group_name_H-M_alt 'I -4 m 2'
_space_group_IT_number 119
_space_group_name_Hall 'I -4 -2'
loop_
_atom_site_label
_atom_site_fract_x
_atom_site_fract_y
_atom_site_fract_z
In1 0.000 0.000 0.000
Re1 0.000 0.500 0.250
Ir1 0.000 0.000 0.500
Ir2 0.000 0.500 0.750
```

Which formula does entry 2 have?
InReIr2